A plane-wave DFT calculation with PBE+U was carried out for an optimized crystal structure of BeV2GaF.

The calculation puts the energy at -4.5690 eV/atom. The calculation puts the total moment at 5.27 μB/f.u.

The space group is P4/mmm (No. 123) and the conventional cell measures 4.5255, 4.5255 and 3.4213 Å, with angles of 90.00, 90.00 and 90.00 degrees. The inequivalent atoms are Be at (0.0000, 0.0000, 0.0000), V at (0.0000, 0.5000, 0.5000), Ga at (0.5000, 0.5000, 0.0000) and F at (0.0000, 0.0000, 0.5000).